No. 1
# Pm2Nd8Tm PBE optimized geometry
# - crystal system = monoclinic
data_Pm2Nd8Tm
_chemical_formula_sum 'Pm4 Nd16 Tm2'
_symmetry_space_group_name_H-M 'C 1 2/m 1'
_symmetry_Int_Tables_number 12
_symmetry_space_group_name_Hall '-C 2y'
_cell_length_a 18.4718
_cell_length_b 6.8666
_cell_length_c 6.2322
_cell_angle_alpha 90.00
_cell_angle_beta 104.41
_cell_angle_gamma 90.00
loop_
_atom_site_label
_atom_site_fract_x
_atom_site_fract_y
_atom_site_fract_z
Pm1 0.2258 0.0000 0.0418
Nd1 0.0356 0.0000 0.7810
Nd2 0.0955 0.5000 0.0048
Nd3 0.1551 0.2368 0.4789
Tm1 0.0000 0.5000 0.5000

=====

No. 2
# Pm6Nd8Tm PBE optimized geometry
# - crystal system = trigonal
data_Pm6Nd8Tm
_chemical_formula_sum 'Pm18 Nd24 Tm3'
_symmetry_space_group_name_H-M 'R -3'
_symmetry_Int_Tables_number 148
_symmetry_space_group_name_Hall '-R 3'
_cell_length_a 9.2818
_cell_length_b 9.2818
_cell_length_c 21.0980
_cell_angle_alpha 90.00
_cell_angle_beta 90.00
_cell_angle_gamma 120.00
loop_
_atom_site_label
_atom_site_fract_x
_atom_site_fract_y
_atom_site_fract_z
Pm1 0.0525 0.2471 0.2075
Nd1 0.0000 0.0000 0.0780
Nd2 0.0808 0.5572 0.3061
Tm1 0.0000 0.0000 0.5000

=====

No. 3
# PmNd4Tm6 PBE optimized geometry
# - crystal system = tetragonal
data_PmNd4Tm6
_chemical_formula_sum 'Pm2 Nd8 Tm12'
_symmetry_space_group_name_H-M 'I -4 2 m'
_symmetry_Int_Tables_number 121
_symmetry_space_group_name_Hall 'I -4 2'
_cell_length_a 6.6593
_cell_length_b 6.6593
_cell_length_c 16.9060
_cell_angle_alpha 90.00
_cell_angle_beta 90.00
_cell_angle_gamma 90.00
loop_
_atom_site_label
_atom_site_fract_x
_atom_site_fract_y
_atom_site_fract_z
Pm1 0.0000 0.0000 0.0000
Nd1 0.1900 0.1900 0.1755
Tm1 0.0000 0.5000 0.0000
Tm2 0.1778 0.1778 0.3761

=====

No. 4
# Pm8NdTm2 PBE optimized geometry
# - crystal system = monoclinic
data_Pm8NdTm2
_chemical_formula_sum 'Pm16 Nd2 Tm4'
_symmetry_space_group_name_H-M 'C 1 2/m 1'
_symmetry_Int_Tables_number 12
_symmetry_space_group_name_Hall '-C 2y'
_cell_length_a 14.3053
_cell_length_b 6.7577
_cell_length_c 8.6195
_cell_angle_alpha 90.00
_cell_angle_beta 114.33
_cell_angle_gamma 90.00
loop_
_atom_site_label
_atom_site_fract_x
_atom_site_fract_y
_atom_site_fract_z
Pm1 0.0920 0.2414 0.3852
Pm2 0.1091 0.0000 0.9949
Pm3 0.2393 0.0000 0.7738
Nd1 0.0000 0.5000 0.0000
Tm1 0.1442 0.5000 0.7584

=====

No. 5
# Pm7Nd16Tm6 PBE optimized geometry
# - crystal system = cubic
data_Pm7Nd16Tm6
_chemical_formula_sum 'Pm28 Nd64 Tm24'
_symmetry_space_group_name_H-M 'F m -3 m'
_symmetry_Int_Tables_number 225
_symmetry_space_group_name_Hall '-F 4 2 3'
_cell_length_a 16.0739
_cell_length_b 16.0739
_cell_length_c 16.0739
_cell_angle_alpha 90.00
_cell_angle_beta 90.00
_cell_angle_gamma 90.00
loop_
_atom_site_label
_atom_site_fract_x
_atom_site_fract_y
_atom_site_fract_z
Pm1 0.0000 0.0000 0.0000
Pm2 0.0000 0.2500 0.2500
Nd1 0.1252 0.1252 0.1252
Nd2 0.1500 0.1500 0.3500
Tm1 0.0000 0.0000 0.2626

=====

No. 6
# Pm4NdTm2 PBE optimized geometry
# - crystal system = monoclinic
data_Pm4NdTm2
_chemical_formula_sum 'Pm16 Nd4 Tm8'
_symmetry_space_group_name_H-M 'C 1 2 1'
_symmetry_Int_Tables_number 5
_symmetry_space_group_name_Hall 'C 2y'
_cell_length_a 16.4921
_cell_length_b 6.9080
_cell_length_c 11.5456
_cell_angle_alpha 90.00
_cell_angle_beta 134.39
_cell_angle_gamma 90.00
loop_
_atom_site_label
_atom_site_fract_x
_atom_site_fract_y
_atom_site_fract_z
Pm1 0.0010 0.0000 0.2502
Pm2 0.0024 0.4356 0.2531
Pm3 0.1634 0.1622 0.6608
Pm4 0.1643 0.1628 0.1659
Nd1 0.2163 0.7724 0.9667
Tm1 0.0000 0.7043 0.0000
Tm2 0.0000 0.7060 0.5000
Tm3 0.2180 0.7719 0.4682

=====

No. 7
# PmNd2Tm PBE optimized geometry
# - crystal system = tetragonal
data_PmNd2Tm
_chemical_formula_sum 'Pm2 Nd4 Tm2'
_symmetry_space_group_name_H-M 'I -4 m 2'
_symmetry_Int_Tables_number 119
_symmetry_space_group_name_Hall 'I -4 -2'
_cell_length_a 5.1384
_cell_length_b 5.1384
_cell_length_c 10.2101
_cell_angle_alpha 90.00
_cell_angle_beta 90.00
_cell_angle_gamma 90.00
loop_
_atom_site_label
_atom_site_fract_x
_atom_site_fract_y
_atom_site_fract_z
Pm1 0.0000 0.0000 0.0000
Nd1 0.0000 0.0000 0.5000
Nd2 0.0000 0.5000 0.2500
Tm1 0.0000 0.5000 0.7500

=====

No. 8
# Pm7Nd4Tm PBE optimized geometry
# - crystal system = triclinic
data_Pm7Nd4Tm
_chemical_formula_sum 'Pm7 Nd4 Tm1'
_symmetry_space_group_name_H-M 'P -1'
_symmetry_Int_Tables_number 2
_symmetry_space_group_name_Hall '-P 1'
_cell_length_a 6.3551
_cell_length_b 7.3354
_cell_length_c 9.1162
_cell_angle_alpha 89.94
_cell_angle_beta 76.42
_cell_angle_gamma 89.95
loop_
_atom_site_label
_atom_site_fract_x
_atom_site_fract_y
_atom_site_fract_z
Pm1 0.0000 0.0000 0.0000
Pm2 0.2188 0.5003 0.3317
Pm3 0.2791 0.2520 0.6709
Pm4 0.4996 0.2516 0.9998
Nd1 0.2224 0.0001 0.3321
Nd2 0.2796 0.7482 0.6704
Tm1 0.0000 0.5000 0.0000

=====

No. 9
# Pm12NdTm3 PBE optimized geometry
# - crystal system = tetragonal
data_Pm12NdTm3
_chemical_formula_sum 'Pm12 Nd1 Tm3'
_symmetry_space_group_name_H-M 'P 4/m m m'
_symmetry_Int_Tables_number 123
_symmetry_space_group_name_Hall '-P 4 2'
_cell_length_a 5.1227
_cell_length_b 5.1227
_cell_length_c 20.4413
_cell_angle_alpha 90.00
_cell_angle_beta 90.00
_cell_angle_gamma 90.00
loop_
_atom_site_label
_atom_site_fract_x
_atom_site_fract_y
_atom_site_fract_z
Pm1 0.0000 0.0000 0.0000
Pm2 0.0000 0.0000 0.2477
Pm3 0.0000 0.0000 0.5000
Pm4 0.0000 0.5000 0.1242
Pm5 0.0000 0.5000 0.3726
Nd1 0.5000 0.5000 0.5000
Tm1 0.5000 0.5000 0.0000
Tm2 0.5000 0.5000 0.2482

=====

No. 10
# PmNd12Tm2 PBE optimized geometry
# - crystal system = orthorhombic
data_PmNd12Tm2
_chemical_formula_sum 'Pm4 Nd48 Tm8'
_symmetry_space_group_name_H-M 'C m m e'
_symmetry_Int_Tables_number 67
_symmetry_space_group_name_Hall '-C 2a 2'
_cell_length_a 7.2025
_cell_length_b 11.6386
_cell_length_c 25.0406
_cell_angle_alpha 90.00
_cell_angle_beta 90.00
_cell_angle_gamma 90.00
loop_
_atom_site_label
_atom_site_fract_x
_atom_site_fract_y
_atom_site_fract_z
Pm1 0.0000 0.2500 0.0013
Nd1 0.0000 0.0027 0.9254
Nd2 0.0000 0.0237 0.4398
Nd3 0.2312 0.2500 0.5860
Nd4 0.2482 0.2500 0.1320
Nd5 0.2500 0.0000 0.1993
Nd6 0.2500 0.0000 0.3243
Tm1 0.0000 0.2500 0.2706
Tm2 0.0000 0.2500 0.7327

=====

No. 11
# Pm5Nd2Tm6 PBE optimized geometry
# - crystal system = orthorhombic
data_Pm5Nd2Tm6
_chemical_formula_sum 'Pm10 Nd4 Tm12'
_symmetry_space_group_name_H-M 'P b a m'
_symmetry_Int_Tables_number 55
_symmetry_space_group_name_Hall '-P 2 2ab'
_cell_length_a 12.7277
_cell_length_b 12.7447
_cell_length_c 5.2868
_cell_angle_alpha 90.00
_cell_angle_beta 90.00
_cell_angle_gamma 90.00
loop_
_atom_site_label
_atom_site_fract_x
_atom_site_fract_y
_atom_site_fract_z
Pm1 0.0000 0.0000 0.0000
Pm2 0.1054 0.3878 0.0000
Pm3 0.2280 0.0914 0.0000
Nd1 0.1943 0.9051 0.5000
Tm1 0.0840 0.1894 0.5000
Tm2 0.0975 0.7738 0.0000
Tm3 0.0994 0.6008 0.5000

=====

No. 12
# Pm6Nd12Tm PBE optimized geometry
# - crystal system = trigonal
data_Pm6Nd12Tm
_chemical_formula_sum 'Pm18 Nd36 Tm3'
_symmetry_space_group_name_H-M 'R -3'
_symmetry_Int_Tables_number 148
_symmetry_space_group_name_Hall '-R 3'
_cell_length_a 12.2897
_cell_length_b 12.2897
_cell_length_c 15.3719
_cell_angle_alpha 90.00
_cell_angle_beta 90.00
_cell_angle_gamma 120.00
loop_
_atom_site_label
_atom_site_fract_x
_atom_site_fract_y
_atom_site_fract_z
Pm1 0.0145 0.5901 0.1860
Nd1 0.0024 0.1725 0.6899
Nd2 0.0476 0.1964 0.9163
Tm1 0.0000 0.0000 0.5000

=====

Number 1: uncorrected energy -4.574 eV/atom, DFT formation energy 173 kJ/mol of formula units. Number 2: uncorrected energy -4.631 eV/atom, DFT formation energy 160 kJ/mol of formula units. Number 3: uncorrected energy -4.300 eV/atom, DFT formation energy 324 kJ/mol of formula units. Number 4: uncorrected energy -4.486 eV/atom, DFT formation energy 228 kJ/mol of formula units. Number 5: uncorrected energy -4.477 eV/atom, DFT formation energy 632 kJ/mol of formula units. Number 6: uncorrected energy -4.499 eV/atom, DFT formation energy 117 kJ/mol of formula units. Number 7: uncorrected energy -4.672 eV/atom, DFT formation energy 7 kJ/mol of formula units. Number 8: uncorrected energy -4.718 eV/atom, DFT formation energy 18 kJ/mol of formula units. Number 9: uncorrected energy -4.684 eV/atom, DFT formation energy 24 kJ/mol of formula units. Number 10: uncorrected energy -4.571 eV/atom, DFT formation energy 226 kJ/mol of formula units. Number 11: uncorrected energy -4.496 eV/atom, DFT formation energy 161 kJ/mol of formula units. Number 12: uncorrected energy -4.619 eV/atom, DFT formation energy 234 kJ/mol of formula units.